--- A ---
Here is a relaxed ZrWC2 crystal from Alexandria. Energies are from PBE.

The structure in extended XYZ format:
```
4
Lattice="3.1459 0.0000 0.0000 1.5729 2.7244 0.0000 1.5729 0.9081 5.5394" Properties=species:S:1:pos:R:3 pbc="T T T"
Zr 3.1459 1.8163 2.8836
C 1.5729 0.9081 1.2249
C 1.5729 0.9081 4.2893
W 4.7188 2.7244 5.4507
```

Computed properties:
- ρ: 10.46 g/cm³
- V: 11.87 A^3/atom

--- B ---
Here is a relaxed ZrWC2 crystal from Alexandria. Energies are from PBE.

The structure in extended XYZ format:
```
4
Lattice="3.5246 -1.6425 0.9239 1.6406 0.6727 3.5819 0.1873 -2.9437 2.6969" Properties=species:S:1:pos:R:3 pbc="T T T"
C 1.3381 -0.9784 1.8007
C 4.0143 -2.9351 5.4020
Zr 0.0000 0.0000 0.0000
W 2.6762 -1.9568 3.6014
```

Computed properties:
- ρ: 11.00 g/cm³
- V: 11.29 A^3/atom

--- C ---
Here is a relaxed ZrWC2 crystal from Alexandria. Energies are from PBE.

The structure in extended XYZ format:
```
4
Lattice="4.1937 0.0000 0.0000 2.0968 3.6318 0.0000 2.0968 1.2106 3.4241" Properties=species:S:1:pos:R:3 pbc="T T T"
C 0.0000 0.0000 0.0000
C 2.0968 1.2106 0.8560
Zr 6.2905 3.6318 2.5681
W 4.1937 2.4212 1.7121
```

Computed properties:
- ρ: 9.52 g/cm³
- V: 13.04 A^3/atom

--- D ---
Here is a relaxed ZrWC2 crystal from Alexandria. Energies are from PBE.

The structure in extended XYZ format:
```
4
Lattice="-2.5827 -1.9143 -0.0210 0.6312 -0.8182 -3.0443 2.5334 -3.4336 1.4481" Properties=species:S:1:pos:R:3 pbc="T T T"
Zr 1.2409 -4.3707 -0.2656
W 0.9500 -1.2876 0.5430
C 2.2167 -3.0045 1.2671
C -0.0257 -2.6539 -0.9896
```

Computed properties:
- ρ: 10.66 g/cm³
- V: 11.64 A^3/atom

Calculated relative energies: A 0.026; B 0.853; C 2.555; D 0.000, given in eV/atom

--- A ---
Here is a relaxed ZrWC2 crystal from Alexandria. Energies are from PBE.

The structure in extended XYZ format:
```
4
Lattice="3.0812 0.0000 0.0000 0.0000 3.4531 0.0000 0.0000 0.0000 4.6744" Properties=species:S:1:pos:R:3 pbc="T T T"
W 1.5406 0.8633 1.1686
C 0.0000 0.8633 4.2520
C 0.0000 0.8633 2.7596
Zr 1.5406 2.5898 3.5058
```

Computed properties:
- ρ: 9.99 g/cm³
- V: 12.43 A^3/atom

--- B ---
Here is a relaxed ZrWC2 crystal from Alexandria. Energies are from PBE.

The structure in extended XYZ format:
```
4
Lattice="-2.7334 -0.3639 5.1540 -4.2532 -3.1739 2.4503 4.9273 0.4070 -3.1182" Properties=species:S:1:pos:R:3 pbc="T T T"
Zr -1.7269 -2.4286 1.9124
W -3.8299 -1.9393 4.1685
C -6.7534 -3.4197 7.3504
C -0.2290 -0.6499 2.4610
```

Computed properties:
- ρ: 10.39 g/cm³
- V: 11.95 A^3/atom

--- C ---
Here is a relaxed ZrWC2 crystal from Alexandria. Energies are from PBE.

The structure in extended XYZ format:
```
4
Lattice="3.1686 -0.0071 0.0000 -1.6354 2.7140 0.0000 0.0000 0.0000 6.1958" Properties=species:S:1:pos:R:3 pbc="T T T"
Zr 0.7666 1.3534 4.6469
C 0.0000 0.0000 0.0979
C 0.0000 0.0000 3.0000
W 0.7666 1.3534 1.5490
```

Computed properties:
- ρ: 9.33 g/cm³
- V: 13.30 A^3/atom

--- D ---
Here is a relaxed ZrWC2 crystal from Alexandria. Energies are from PBE.

The structure in extended XYZ format:
```
4
Lattice="-3.9501 -3.2793 1.4786 -1.2838 -4.6650 2.2656 -0.1053 1.3965 2.8159" Properties=species:S:1:pos:R:3 pbc="T T T"
C -1.4942 -1.6844 2.0967
C -0.1317 1.1619 2.4922
Zr -3.9878 -4.6910 5.2508
W -2.5004 -3.2115 2.8164
```

Computed properties:
- ρ: 9.95 g/cm³
- V: 12.48 A^3/atom

Calculated relative energies: A 0.063; B 0.000; C 0.476; D 0.056, given in eV/atom

--- A ---
Here is a relaxed ZrWC2 crystal from Alexandria. Energies are from PBE.

The structure in extended XYZ format:
```
4
Lattice="3.1926 0.0000 0.0000 0.0000 5.1900 0.0000 0.0000 0.0000 3.0903" Properties=species:S:1:pos:R:3 pbc="T T T"
W 1.5963 0.0000 1.5452
Zr 0.0000 2.5950 1.5452
C 1.5963 2.5950 0.0000
C 0.0000 0.0000 0.0000
```

Computed properties:
- ρ: 9.70 g/cm³
- V: 12.80 A^3/atom

--- B ---
Here is a relaxed ZrWC2 crystal from Alexandria. Energies are from PBE.

The structure in extended XYZ format:
```
8
Lattice="-1.2069 4.7050 0.6222 -4.0650 -0.6934 -2.6412 -5.0854 0.8384 3.0668" Properties=species:S:1:pos:R:3 pbc="T T T"
C -3.9187 0.1923 -0.8290
C -5.6424 2.1585 1.6395
C -8.5756 4.1136 0.4369
C -2.5779 3.2355 0.8482
Zr -5.8932 1.0754 -0.2920
Zr -2.6359 2.0058 -1.0095
W 0.0000 0.0000 0.0000
W -4.4641 3.7746 1.3398
```

Computed properties:
- ρ: 8.46 g/cm³
- V: 14.68 A^3/atom

--- C ---
Here is a relaxed ZrWC2 crystal from Alexandria. Energies are from PBE.

The structure in extended XYZ format:
```
4
Lattice="-3.7629 -1.5463 -3.5036 4.2959 -1.1867 0.1542 0.4728 -3.0478 1.0985" Properties=species:S:1:pos:R:3 pbc="T T T"
W 2.3843 -2.1172 0.6263
Zr 0.2665 -1.3665 -1.6747
C -1.6451 -2.2971 -1.2026
C 0.0000 0.0000 0.0000
```

Computed properties:
- ρ: 9.16 g/cm³
- V: 13.56 A^3/atom

Calculated relative energies: A 0.478; B 0.000; C 0.342, given in eV/atom